(1)
This record from Alexandria describes a relaxed structure of Tb2NdDyY2. The functional is GGA-PBE.

abc: 6.6430 17.7633 3.3953
angles: 90.00 90.00 90.00
Space group Pnnm (No. 58)
Asymmetric unit:
Tb 0.2324 0.1799 0.0000
Nd 0.0000 0.0000 0.0000
Dy 0.0000 0.5000 0.0000
Y 0.2284 0.3488 0.5000

E_form, eV/atom: 0.2855

(2)
This record from Alexandria describes a relaxed structure of NaTl2TcH. The functional is GGA-PBE.

abc: 5.5524 5.5524 3.3277
angles: 90.00 90.00 90.00
Space group P4/mmm (No. 123)
Asymmetric unit:
Na 0.0000 0.0000 0.0000
Tl 0.0000 0.5000 0.0000
Tc 0.5000 0.5000 0.5000
H 0.0000 0.0000 0.5000

VASP energy, eV/cell: -15.0

(3)
This record from Alexandria describes a relaxed structure of GaCo3H. The functional is GGA-PBE.

abc: 7.8358 3.7048 7.6073
angles: 90.00 119.71 90.00
Space group Cm (No. 8)
Asymmetric unit:
Ga 0.0000 0.0000 0.0000
Ga 0.0076 0.5000 0.7357
Co 0.0223 0.0000 0.4783
Co 0.2476 0.0000 0.8624
Co 0.2524 0.5000 0.1163
Co 0.2599 0.0000 0.3621
Co 0.2694 0.5000 0.6140
Co 0.4968 0.0000 0.2325
H 0.0160 0.5000 0.4608
H 0.2607 0.5000 0.3664

Energy relative to the lowest polymorph listed for this composition, meV/atom: 55

(4)
This record from Alexandria describes a relaxed structure of AgTe2As. The functional is GGA-PBE.

abc: 3.0101 3.0101 12.2107
angles: 90.00 90.00 90.00
Space group P4mm (No. 99)
Asymmetric unit:
Ag 0.0000 0.0000 0.0000
Te 0.0000 0.0000 0.4446
Te 0.5000 0.5000 0.7716
As 0.5000 0.5000 0.1549

Formation energy from raw total energies, eV/atom: 0.26

(5)
This record from Alexandria describes a relaxed structure of CoTc2PtSe6. The functional is GGA-PBE.

abc: 12.4331 10.9757 6.2919
angles: 90.00 99.39 90.00
Space group C2/c (No. 15)
Asymmetric unit:
Co 0.0000 0.0889 0.2500
Tc 0.1981 0.4101 0.2984
Pt 0.0000 0.2539 0.7500
Se 0.1032 0.0755 0.6095
Se 0.1129 0.2370 0.1253
Se 0.1299 0.4114 0.6240

Formation energy from raw total energies, eV/atom: -0.10

(6)
This record from Alexandria describes a relaxed structure of Rb2PaRe3O12. The functional is GGA-PBE.

abc: 7.3567 7.3567 18.9581
angles: 90.00 90.00 120.00
Space group R-3m (No. 166, hexagonal axes)
Asymmetric unit:
Rb 0.0000 0.0000 0.1255
Pa 0.0000 0.0000 0.5000
Re 0.0000 0.5000 0.0000
O 0.0510 0.5255 0.1015
O 0.0868 0.5434 0.3442

Formation energy from raw total energies, eV/atom: -2.02

(7)
This record from Alexandria describes a relaxed structure of AlAsSe2. The functional is GGA-PBE.

abc: 3.5663 4.6623 10.3746
angles: 90.00 90.00 90.00
Space group Cmm2 (No. 35)
Asymmetric unit:
Al 0.0000 0.0000 0.0000
As 0.0000 0.5000 0.8144
Se 0.0000 0.0000 0.5139
Se 0.0000 0.5000 0.1820

Formation energy from raw total energies, eV/atom: 0.22
Energy relative to the lowest polymorph listed for this composition, meV/atom: 531